(1)
# DySiPt3

Crystalline DySiPt3 at its relaxed geometry (PBE, the Alexandria database).

space-group type: I4mm, No. 107
formation energy from raw total energies: -1098 meV per atom
polymorph energy (0 for the lowest one): 0 meV/atom

Unit cell a=4.023 b=4.023 c=11.042 alpha=90.00 beta=90.00 gamma=90.00
Fractional positions:
Dy 0.000 0.000 0.000
Dy 0.500 0.500 0.500
Si 0.000 0.000 0.376
Si 0.500 0.500 0.876
Pt 0.000 0.000 0.582
Pt 0.000 0.500 0.258
Pt 0.000 0.500 0.758
Pt 0.500 0.000 0.258
Pt 0.500 0.000 0.758
Pt 0.500 0.500 0.082

---

(2)
# TbNd2Dy6

Crystalline TbNd2Dy6 at its relaxed geometry (PBE, the Alexandria database).

space-group type: C2/c, No. 15
formation energy from the elements: 111 meV/atom
polymorph energy (0 for the lowest one): 0 meV/atom

Unit cell a=9.615 b=9.615 c=6.600 alpha=99.31 beta=99.31 gamma=96.09
Fractional positions:
Tb 0.118 0.882 0.750
Tb 0.882 0.118 0.250
Nd 0.331 0.382 0.627
Nd 0.382 0.331 0.127
Nd 0.618 0.669 0.873
Nd 0.669 0.618 0.373
Dy 0.042 0.222 0.817
Dy 0.058 0.462 0.271
Dy 0.222 0.042 0.317
Dy 0.277 0.652 0.996
Dy 0.348 0.723 0.504
Dy 0.462 0.058 0.771
Dy 0.538 0.942 0.229
Dy 0.652 0.277 0.496
Dy 0.723 0.348 0.004
Dy 0.778 0.958 0.683
Dy 0.942 0.538 0.729
Dy 0.958 0.778 0.183

---

(3)
# Tb3Pm6Dy2Pu

Crystalline Tb3Pm6Dy2Pu at its relaxed geometry (PBE, the Alexandria database).

space-group type: C2/m, No. 12
formation energy from the elements: 45 meV/atom

Unit cell a=6.234 b=6.234 c=11.825 alpha=95.05 beta=95.05 gamma=120.03
Fractional positions:
Tb 0.000 0.000 0.000
Tb 0.333 0.667 0.000
Tb 0.667 0.333 0.000
Pm 0.088 0.418 0.252
Pm 0.253 0.253 0.748
Pm 0.418 0.088 0.252
Pm 0.582 0.912 0.748
Pm 0.747 0.747 0.252
Pm 0.912 0.582 0.748
Dy 0.167 0.833 0.500
Dy 0.833 0.167 0.500
Pu 0.500 0.500 0.500

---

(4)
# TbCdAgRh

Crystalline TbCdAgRh at its relaxed geometry (PBE, the Alexandria database).

space-group type: F-43m, No. 216
formation energy from the elements: -383 meV/atom

Unit cell a=6.839 b=6.839 c=6.839 alpha=90.00 beta=90.00 gamma=90.00
Fractional positions:
Tb 0.000 0.000 0.000
Tb 0.000 0.500 0.500
Tb 0.500 0.000 0.500
Tb 0.500 0.500 0.000
Cd 0.000 0.000 0.500
Cd 0.000 0.500 0.000
Cd 0.500 0.000 0.000
Cd 0.500 0.500 0.500
Ag 0.250 0.250 0.750
Ag 0.250 0.750 0.250
Ag 0.750 0.250 0.250
Ag 0.750 0.750 0.750
Rh 0.250 0.250 0.250
Rh 0.250 0.750 0.750
Rh 0.750 0.250 0.750
Rh 0.750 0.750 0.250

---

(5)
# Rb3ZrNp2S6

Crystalline Rb3ZrNp2S6 at its relaxed geometry (PBE, the Alexandria database).

space-group type: C2/m, No. 12
formation energy from raw total energies: -1392 meV per atom

Unit cell a=6.942 b=6.942 c=8.050 alpha=98.27 beta=98.27 gamma=120.00
Fractional positions:
Rb 0.000 0.000 0.000
Rb 0.332 0.668 0.000
Rb 0.668 0.332 0.000
Zr 0.500 0.500 0.500
Np 0.167 0.833 0.500
Np 0.833 0.167 0.500
S 0.115 0.436 0.309
S 0.243 0.243 0.691
S 0.436 0.115 0.309
S 0.564 0.885 0.691
S 0.757 0.757 0.309
S 0.885 0.564 0.691

---

(6)
# Tb2Fe17C3

Crystalline Tb2Fe17C3 at its relaxed geometry (PBE, the Alexandria database).

space-group type: R-3m, No. 166
formation energy from the elements: -77 meV/atom

Unit cell a=6.500 b=6.500 c=6.500 alpha=83.31 beta=83.31 gamma=83.31
Fractional positions:
Tb 0.156 0.156 0.156
Tb 0.844 0.844 0.844
Fe 0.000 0.500 0.500
Fe 0.157 0.157 0.644
Fe 0.157 0.644 0.157
Fe 0.216 0.500 0.784
Fe 0.216 0.784 0.500
Fe 0.356 0.843 0.843
Fe 0.405 0.405 0.405
Fe 0.500 0.000 0.500
Fe 0.500 0.216 0.784
Fe 0.500 0.500 0.000
Fe 0.500 0.784 0.216
Fe 0.595 0.595 0.595
Fe 0.644 0.157 0.157
Fe 0.784 0.216 0.500
Fe 0.784 0.500 0.216
Fe 0.843 0.356 0.843
Fe 0.843 0.843 0.356
C 0.000 0.000 0.500
C 0.000 0.500 0.000
C 0.500 0.000 0.000